The following is a PBE-GGA calculation of PaSi2TcW after structural relaxation, from Alexandria via LeMat-Bulk.

a = 4.0485 Å, b = 4.0485 Å, c = 10.5950 Å
α = 90.00°, β = 90.00°, γ = 90.00°
Closest atoms and distances in Å follow each position.
Space group I-4m2 (No. 119)
Asymmetric unit:
Pa: 0.0000 0.0000 0.0000  8 Si 3.10, 4 W 3.33, 4 Tc 3.33
Si: 0.0000 0.0000 0.3880  1 Si 2.37, 2 W 2.50, 2 Tc 2.50
Tc: 0.0000 0.5000 0.2500  4 Si 2.50
W: 0.0000 0.5000 0.7500  4 Si 2.50

Calculated values
Energy relative to the elements, uncorrected, eV/atom: -0.39


The following is a PBE-GGA calculation of Lu2PuHg after structural relaxation, from Alexandria via LeMat-Bulk.

a = 3.4440 Å, b = 3.4440 Å, c = 8.8809 Å
α = 90.00°, β = 90.00°, γ = 90.00°
Closest atoms and distances in Å follow each position.
Space group P4/mmm (No. 123)
Asymmetric unit:
Lu: 0.0000 0.0000 0.2274  4 Hg 3.16, 4 Pu 3.43, 4 Lu 3.44
Pu: 0.5000 0.5000 0.5000  8 Lu 3.43, 4 Pu 3.44
Hg: 0.5000 0.5000 0.0000  8 Lu 3.16, 4 Hg 3.44

Calculated values
ΔE_f, eV per atom: -0.148
E above lowest polymorph, meV per atom: 0


The following is a PBE-GGA calculation of Rb2TiFe2 after structural relaxation, from Alexandria via LeMat-Bulk.

a = 4.1617 Å, b = 4.1617 Å, c = 15.1564 Å
α = 90.00°, β = 90.00°, γ = 90.00°
Closest atoms and distances in Å follow each position.
Space group I4/mmm (No. 139)
Asymmetric unit:
Rb: 0.0000 0.5000 0.2500  4 Rb 2.94
Ti: 0.0000 0.0000 0.0000  8 Fe 3.12
Fe: 0.0000 0.0000 0.4307  1 Fe 2.10

Calculated values
ΔE_f, eV per atom: 1.365
E above lowest polymorph, meV per atom: 142


The following is a PBE-GGA calculation of CrSb4Au after structural relaxation, from Alexandria via LeMat-Bulk.

a = 8.6796 Å, b = 8.6796 Å, c = 8.6796 Å
α = 90.00°, β = 90.00°, γ = 90.00°
Closest atoms and distances in Å follow each position.
Space group F-43m (No. 216)
Asymmetric unit:
Cr: 0.0000 0.0000 0.0000  12 Sb 3.60, 4 Au 3.76
Sb: 0.1237 0.1237 0.6237  6 Sb 3.04-3.10
Au: 0.2500 0.2500 0.2500  12 Sb 3.60, 4 Cr 3.76

Calculated values
Energy relative to the elements, uncorrected, eV/atom: 0.65


The following is a PBE-GGA calculation of Te2Pt2Au after structural relaxation, from Alexandria via LeMat-Bulk.

a = 3.8596 Å, b = 3.8596 Å, c = 15.0141 Å
α = 90.00°, β = 90.00°, γ = 90.00°
Closest atoms and distances in Å follow each position.
Space group I4/mmm (No. 139)
Asymmetric unit:
Te: 0.0000 0.0000 0.1182  4 Pt 2.76
Pt: 0.0000 0.5000 0.2500  4 Pt 2.73, 4 Te 2.76
Au: 0.0000 0.0000 0.5000  8 Te 3.26

Calculated values
Energy relative to the elements, uncorrected, eV/atom: 0.07


The following is a PBE-GGA calculation of Li2CaZn after structural relaxation, from Alexandria via LeMat-Bulk.

a = 4.6700 Å, b = 5.9936 Å, c = 6.5313 Å
α = 90.00°, β = 90.00°, γ = 90.00°
Closest atoms and distances in Å follow each position.
Space group Pmmn (No. 59, origin choice 2)
Asymmetric unit:
Li: 0.2500 0.0152 0.1119  3 Li 2.76-2.81, 3 Zn 2.79-2.85
Ca: 0.2500 0.2500 0.5855  4 Zn 3.21-3.25, 6 Li 3.40-3.45
Zn: 0.2500 0.7500 0.7617  6 Li 2.79-2.85

Calculated values
ΔE_f, eV per atom: -0.110


The following is a PBE-GGA calculation of Sm6InTe3P2 after structural relaxation, from Alexandria via LeMat-Bulk.

a = 19.0441 Å, b = 4.2500 Å, c = 8.8660 Å
α = 90.00°, β = 104.54°, γ = 90.00°
Closest atoms and distances in Å follow each position.
Space group C2/m (No. 12)
Asymmetric unit:
Sm: 0.0108 0.0000 0.2551  1 P 2.92, 2 In 3.07, 3 Te 3.08-3.22
Sm: 0.1681 0.5000 0.1114  2 P 2.92, 1 In 3.10, 3 Te 3.11-3.26
Sm: 0.1753 0.5000 0.5630  3 P 2.87-2.90
In: 0.0000 0.5000 0.0000  6 Sm 3.07-3.10
Te: 0.0000 0.5000 0.5000  6 Sm 3.08-3.24
Te: 0.1640 0.0000 0.8308  6 Sm 3.11-3.26
P: 0.1694 0.0000 0.3374  6 Sm 2.87-2.92

Calculated values
Energy relative to the elements, uncorrected, eV/atom: -1.32


The following is a PBE-GGA calculation of Dy2PaH8 after structural relaxation, from Alexandria via LeMat-Bulk.

a = 3.5510 Å, b = 5.4800 Å, c = 10.8003 Å
α = 90.00°, β = 90.00°, γ = 90.00°
Closest atoms and distances in Å follow each position.
Space group Immm (No. 71)
Asymmetric unit:
Dy: 0.0000 0.0000 0.1679  8 H 2.20-2.30
Pa: 0.0000 0.0000 0.5000  12 H 2.27-2.40
H: 0.0000 0.2277 0.0000  2 H 2.20, 2 Dy 2.20, 2 Pa 2.32
H: 0.0000 0.2581 0.3361  3 Dy 2.22-2.30, 1 Pa 2.27, 3 H 2.28-2.42
H: 0.0000 0.5000 0.1491  8 H 2.20-2.42, 2 Pa 2.40

Calculated values
Final energy, Ry per atom: -0.34181


The following is a PBE-GGA calculation of AlTl2NiPt after structural relaxation, from Alexandria via LeMat-Bulk.

a = 5.2874 Å, b = 5.2874 Å, c = 4.7529 Å
α = 90.00°, β = 90.00°, γ = 90.00°
Closest atoms and distances in Å follow each position.
Space group P4/mmm (No. 123)
Asymmetric unit:
Al: 0.0000 0.0000 0.0000  2 Pt 2.38
Tl: 0.0000 0.5000 0.5000  2 Pt 2.64
Ni: 0.5000 0.5000 0.0000  8 Tl 3.55, 4 Al 3.74
Pt: 0.0000 0.0000 0.5000  2 Al 2.38, 4 Tl 2.64

Calculated values
ΔE_f, eV per atom: 0.493


The following is a PBE-GGA calculation of Ge3Se after structural relaxation, from Alexandria via LeMat-Bulk.

a = 3.9027 Å, b = 5.4708 Å, c = 3.9640 Å
α = 90.00°, β = 90.00°, γ = 90.00°
Closest atoms and distances in Å follow each position.
Space group Pmm2 (No. 25)
Asymmetric unit:
Ge: 0.0000 0.0000 0.0000  2 Se 2.60, 2 Ge 2.75
Ge: 0.0000 0.5000 0.0802  6 Ge 2.71-2.85
Ge: 0.5000 0.5000 0.5559  4 Ge 2.71-2.85, 2 Se 2.74
Se: 0.5000 0.0000 0.5674  4 Ge 2.60-2.74

Calculated values
Energy relative to the elements, uncorrected, eV/atom: 0.05


The following is a PBE-GGA calculation of RbAg6O4 after structural relaxation, from Alexandria via LeMat-Bulk.

a = 6.5744 Å, b = 6.5744 Å, c = 8.4723 Å
α = 90.00°, β = 90.00°, γ = 90.00°
Closest atoms and distances in Å follow each position.
Space group I-42m (No. 121)
Asymmetric unit:
Rb: 0.0000 0.0000 0.0000  4 O 2.87
Ag: 0.0000 0.5000 0.0000  4 O 2.53, 4 Ag 2.83
Ag: 0.1673 0.1673 0.6673  2 O 2.23-2.36
O: 0.2076 0.2076 0.3923  2 Ag 2.23-2.36

Calculated values
Energy relative to the elements, uncorrected, eV/atom: -0.02


The following is a PBE-GGA calculation of Tl7SnSe6 after structural relaxation, from Alexandria via LeMat-Bulk.

a = 7.7152 Å, b = 13.9269 Å, c = 18.4257 Å
α = 90.00°, β = 90.00°, γ = 90.00°
Closest atoms and distances in Å follow each position.
Space group Ibam (No. 72)
Asymmetric unit:
Tl: 0.0000 0.0000 0.2500  4 Se 3.05
Tl: 0.1648 0.2996 0.1112  4 Se 3.09-3.36
Tl: 0.2399 0.4708 0.5000  4 Se 3.00-3.33
Sn: 0.0000 0.5000 0.2500  4 Se 2.57
Se: 0.0298 0.1728 0.5000  6 Tl 3.00-3.33
Se: 0.2054 0.3998 0.3300  1 Sn 2.57

Calculated values
Energy relative to the elements, uncorrected, eV/atom: -0.34


The following is a PBE-GGA calculation of Ca3Hg2Pd after structural relaxation, from Alexandria via LeMat-Bulk.

a = 5.2225 Å, b = 15.7810 Å, c = 7.4130 Å
α = 90.00°, β = 90.00°, γ = 90.00°
Closest atoms and distances in Å follow each position.
Space group Cmmm (No. 65)
Asymmetric unit:
Ca: 0.0000 0.0000 0.2423  2 Pd 3.15, 6 Hg 3.17-3.24
Ca: 0.0000 0.3289 0.2360  3 Pd 3.14-3.15, 5 Hg 3.22-3.33, 1 Ca 3.50
Hg: 0.0000 0.1653 0.5000  8 Ca 3.23-3.26
Hg: 0.0000 0.5000 0.0000  8 Ca 3.17-3.22
Hg: 0.0000 0.5000 0.5000  8 Ca 3.24-3.33
Pd: 0.0000 0.1638 0.0000  8 Ca 3.14-3.15

Calculated values
ΔE_f, eV per atom: -0.572
E above lowest polymorph, meV per atom: 10